This record from Alexandria via LeMat-Bulk describes a geometry-optimized Ba2ErCoCu2O7 structure. The functional is PBE with a Hubbard U.

Computed properties:
**N(E_F)**: 2.9 states/eV per cell
**Total DFT energy (no corrections)**: -80.81 eV/cell
**Calculated density**: 6.90 g cm⁻³

```
data_Ba2ErCoCu2O7
_space_group_name_H-M_alt 'P m m m'
_space_group_IT_number 47
_space_group_name_Hall '-P 2 2'
_cell_length_a 3.848
_cell_length_b 3.913
_cell_length_c 11.834
_cell_angle_alpha 90.00
_cell_angle_beta 90.00
_cell_angle_gamma 90.00
loop_
_atom_site_label
_atom_site_fract_x
_atom_site_fract_y
_atom_site_fract_z
_atom_site_occupancy
Ba1 0.000 0.000 0.184 1
Er1 0.000 0.000 0.500 1
Co1 0.500 0.500 0.000 1
Cu1 0.500 0.500 0.363 1
O1 0.000 0.500 0.381 1
O2 0.500 0.000 0.000 1
O3 0.500 0.000 0.380 1
O4 0.500 0.500 0.152 1
```